1.
The following is a PBE calculation of a geometry-optimized Rb3PrDy2Te6 structure, from Alexandria via LeMat-Bulk.

Structure (POSCAR):
```
Rb3PrDy2Te6
1.0
7.930 -0.001 -0.001
-3.964 6.868 -0.001
-1.323 -2.291 8.562
Rb Pr Dy Te
3 1 2 6
Direct
0.164 0.836 0.500 Rb
0.836 0.164 0.500 Rb
0.500 0.500 0.500 Rb
0.000 0.000 0.000 Pr
0.333 0.667 0.000 Dy
0.667 0.333 0.000 Dy
0.933 0.590 0.798 Te
0.725 0.725 0.201 Te
0.067 0.410 0.202 Te
0.590 0.933 0.798 Te
0.275 0.275 0.799 Te
0.410 0.067 0.202 Te
```

Summary:
The space-group type is C2/m. The final energy comes out at -4.37 eV/atom.

2.
The following is a PBE calculation of a geometry-optimized RbPr3Dy2Te6 structure, from Alexandria via LeMat-Bulk.

Structure (POSCAR):
```
RbPr3Dy2Te6
1.0
-4.295 0.757 1.005
-2.418 -7.709 -4.522
3.760 -3.527 8.756
Rb Pr Dy Te
1 3 2 6
Direct
0.500 0.000 0.000 Rb
0.500 0.500 0.000 Pr
0.843 0.185 0.686 Pr
0.157 0.815 0.314 Pr
0.833 0.660 0.666 Dy
0.167 0.340 0.334 Dy
0.324 0.904 0.647 Te
0.670 0.574 0.339 Te
0.676 0.096 0.353 Te
0.009 0.267 0.017 Te
0.991 0.733 0.983 Te
0.330 0.426 0.661 Te
```

Summary:
The value obtained for the density of states at the Fermi level is 0.375 states/eV/atom. The space-group type is C2/m. The final energy comes out at -4.94 eV/atom.

3.
The following is a PBE calculation of a geometry-optimized Rb3Pr2DyTe6 structure, from Alexandria via LeMat-Bulk.

Structure (POSCAR):
```
Rb3Pr2DyTe6
1.0
8.020 -0.002 0.000
-4.009 6.945 0.000
-1.338 -2.316 8.570
Rb Pr Dy Te
3 2 1 6
Direct
0.169 0.831 0.500 Rb
0.831 0.169 0.500 Rb
0.500 0.500 0.500 Rb
0.334 0.666 0.000 Pr
0.666 0.334 0.000 Pr
0.000 0.000 0.000 Dy
0.932 0.608 0.796 Te
0.744 0.744 0.204 Te
0.068 0.392 0.204 Te
0.608 0.932 0.796 Te
0.256 0.256 0.796 Te
0.392 0.068 0.204 Te
```

Summary:
The space-group type is C2/m. The final energy comes out at -4.39 eV/atom.

4.
The following is a PBE calculation of a geometry-optimized Rb4Pr3DyTe8 structure, from Alexandria via LeMat-Bulk.

Structure (POSCAR):
```
Rb4Pr3DyTe8
1.0
-7.527 -1.313 5.275
-3.033 -7.415 -6.174
8.471 -0.751 3.728
Rb Pr Dy Te
4 3 1 8
Direct
0.500 0.000 0.000 Rb
0.500 0.000 0.500 Rb
0.000 0.000 0.000 Rb
0.000 0.000 0.500 Rb
0.500 0.500 0.000 Pr
0.500 0.500 0.500 Pr
0.000 0.500 0.500 Pr
0.000 0.500 0.000 Dy
0.230 0.703 0.973 Te
0.230 0.703 0.461 Te
0.264 0.292 0.528 Te
0.743 0.703 0.973 Te
0.257 0.297 0.027 Te
0.736 0.708 0.472 Te
0.770 0.297 0.539 Te
0.770 0.297 0.027 Te
```

Summary:
The space-group type is R-3m. The final energy comes out at -4.40 eV/atom.

5.
The following is a PBE calculation of a geometry-optimized Pr3Dy4Rh4 structure, from Alexandria via LeMat-Bulk.

Structure (POSCAR):
```
Pr3Dy4Rh4
1.0
3.892 0.000 0.000
0.000 8.948 0.000
-1.946 -4.474 7.964
Pr Dy Rh
3 4 4
Direct
0.101 0.101 0.201 Pr
0.899 0.899 0.799 Pr
0.000 0.500 0.000 Pr
0.332 0.143 0.665 Dy
0.668 0.478 0.335 Dy
0.668 0.857 0.335 Dy
0.332 0.522 0.665 Dy
0.242 0.742 0.483 Rh
0.758 0.258 0.517 Rh
0.500 0.771 0.000 Rh
0.500 0.229 0.000 Rh
```

Summary:
The value obtained for the density of states at the Fermi level is 0.756 states/eV/atom. For the formation energy from the elements, the calculation gives -0.58 eV/atom. The space-group type is Immm. The final energy comes out at -6.23 eV/atom.

6.
The following is a PBE calculation of a geometry-optimized PrDy2Rh2 structure, from Alexandria via LeMat-Bulk.

Structure (POSCAR):
```
PrDy2Rh2
1.0
4.485 0.461 -0.440
-0.502 4.481 -0.440
-1.720 -2.134 6.516
Pr Dy Rh
1 2 2
Direct
0.000 0.000 0.000 Pr
0.247 0.753 0.500 Dy
0.753 0.247 0.500 Dy
0.583 0.583 0.214 Rh
0.417 0.417 0.786 Rh
```

Summary:
The value obtained for the density of states at the Fermi level is 0.690 states/eV/atom. For the formation energy from the elements, the calculation gives -0.55 eV/atom. The space-group type is C2/m. The final energy comes out at -6.29 eV/atom. The value obtained for the energy above the lowest structure with this stoichiometry is 32 meV per atom.

7.
The following is a PBE calculation of a geometry-optimized PrDyRh structure, from Alexandria via LeMat-Bulk.

Structure (POSCAR):
```
PrDyRh
1.0
3.885 0.000 0.000
0.000 8.143 -1.228
-1.942 -3.856 5.702
Pr Dy Rh
2 2 2
Direct
0.419 0.212 0.838 Pr
0.581 0.788 0.162 Pr
0.826 0.730 0.652 Dy
0.174 0.270 0.348 Dy
0.135 0.575 0.270 Rh
0.865 0.425 0.730 Rh
```

Summary:
The value obtained for the density of states at the Fermi level is 1.151 states/eV/atom. For the formation energy from the elements, the calculation gives -0.57 eV/atom. The space-group type is C2/m. The final energy comes out at -6.15 eV/atom. The value obtained for the energy above the lowest structure with this stoichiometry is 0 meV per atom.

8.
The following is a PBE calculation of a geometry-optimized Pr2Dy2Rh3 structure, from Alexandria via LeMat-Bulk.

Structure (POSCAR):
```
Pr2Dy2Rh3
1.0
-6.415 2.518 -3.173
1.317 -7.119 -2.267
-0.681 0.164 7.554
Pr Dy Rh
4 4 6
Direct
0.500 0.374 0.500 Pr
0.000 0.000 0.374 Pr
0.626 0.126 0.126 Pr
0.874 0.500 0.000 Pr
0.000 0.000 0.887 Dy
0.500 0.887 0.500 Dy
0.113 0.613 0.613 Dy
0.387 0.500 0.000 Dy
0.750 0.661 0.411 Rh
0.250 0.839 0.089 Rh
0.589 0.750 0.839 Rh
0.911 0.250 0.661 Rh
0.339 0.089 0.750 Rh
0.161 0.411 0.250 Rh
```

Summary:
The value obtained for the density of states at the Fermi level is 0.461 states/eV/atom. For the formation energy from the elements, the calculation gives -0.68 eV/atom. The space-group type is I2_13. The final energy comes out at -6.51 eV/atom. The value obtained for the energy above the lowest structure with this stoichiometry is 0 meV per atom.

9.
The following is a PBE calculation of a geometry-optimized PrDy3Rh4 structure, from Alexandria via LeMat-Bulk.

Structure (POSCAR):
```
PrDy3Rh4
1.0
4.687 0.000 1.384
2.139 4.171 1.384
0.035 0.022 8.512
Pr Rh Dy
1 4 3
Direct
0.000 0.000 0.000 Pr
0.873 0.873 0.381 Rh
0.378 0.378 0.867 Rh
0.127 0.127 0.619 Rh
0.622 0.622 0.133 Rh
0.248 0.248 0.255 Dy
0.752 0.752 0.745 Dy
0.500 0.500 0.500 Dy
```

Summary:
The value obtained for the density of states at the Fermi level is 0.537 states/eV/atom. For the formation energy from the elements, the calculation gives -0.80 eV/atom. The space-group type is R-3m. The final energy comes out at -6.80 eV/atom.

10.
The following is a PBE calculation of a geometry-optimized Pr2Dy2Rh3 structure, from Alexandria via LeMat-Bulk.

Structure (POSCAR):
```
Pr2Dy2Rh3
1.0
4.402 -0.004 0.004
-2.195 5.677 -0.162
0.001 -1.040 7.428
Pr Dy Rh
2 2 3
Direct
0.868 0.735 0.644 Pr
0.132 0.265 0.356 Pr
0.638 0.276 0.930 Dy
0.362 0.724 0.070 Dy
0.000 0.000 0.000 Rh
0.804 0.609 0.263 Rh
0.196 0.391 0.737 Rh
```

Summary:
The value obtained for the density of states at the Fermi level is 0.451 states/eV/atom. For the formation energy from the elements, the calculation gives -0.62 eV/atom. The space-group type is P-1. The final energy comes out at -6.45 eV/atom. The value obtained for the energy above the lowest structure with this stoichiometry is 63 meV per atom.

11.
The following is a PBE calculation of a geometry-optimized PrDy4Rh5 structure, from Alexandria via LeMat-Bulk.

Structure (POSCAR):
```
PrDy4Rh5
1.0
-1.762 2.626 -1.295
-2.407 -2.160 -1.105
-8.610 1.765 15.296
Pr Dy Rh
1 4 5
Direct
0.000 0.000 0.000 Pr
0.000 0.000 0.205 Dy
0.000 0.000 0.402 Dy
0.000 0.000 0.598 Dy
0.000 0.000 0.795 Dy
0.500 0.500 0.110 Rh
0.500 0.500 0.304 Rh
0.500 0.500 0.500 Rh
0.500 0.500 0.696 Rh
0.500 0.500 0.890 Rh
```

Summary:
The value obtained for the density of states at the Fermi level is 0.658 states/eV/atom. For the formation energy from the elements, the calculation gives -0.81 eV/atom. The space-group type is P4/mmm. The final energy comes out at -6.80 eV/atom.

12.
The following is a PBE calculation of a geometry-optimized PrDy2Rh structure, from Alexandria via LeMat-Bulk.

Structure (POSCAR):
```
PrDy2Rh
1.0
-3.022 -0.204 -1.773
0.448 -3.462 -0.364
-4.332 -1.354 7.543
Pr Rh Dy
1 1 2
Direct
0.500 0.500 0.500 Pr
0.500 0.500 0.000 Rh
0.000 0.000 0.815 Dy
0.000 0.000 0.185 Dy
```

Summary:
The value obtained for the density of states at the Fermi level is 1.144 states/eV/atom. For the formation energy from the elements, the calculation gives -0.42 eV/atom. The space-group type is P4/mmm. The final energy comes out at -5.75 eV/atom. The value obtained for the energy above the lowest structure with this stoichiometry is 68 meV per atom.

13.
The following is a PBE calculation of a geometry-optimized Pr3DyRh8 structure, from Alexandria via LeMat-Bulk.

Structure (POSCAR):
```
Pr3DyRh8
1.0
-3.781 0.731 3.802
-4.880 -2.269 -0.565
-0.022 -7.732 5.315
Pr Dy Rh
3 1 8
Direct
0.375 0.375 0.875 Pr
0.000 0.000 0.001 Pr
0.501 0.501 0.498 Pr
0.875 0.875 0.376 Dy
0.936 0.437 0.191 Rh
0.440 0.938 0.684 Rh
0.437 0.437 0.191 Rh
0.938 0.938 0.684 Rh
0.188 0.188 0.437 Rh
0.687 0.687 0.938 Rh
0.437 0.936 0.191 Rh
0.938 0.440 0.684 Rh
```

Summary:
The value obtained for the density of states at the Fermi level is 0.558 states/eV/atom. For the formation energy from the elements, the calculation gives -0.66 eV/atom. The space-group type is R3m. The final energy comes out at -7.14 eV/atom.

14.
The following is a PBE calculation of a geometry-optimized PrDy2Rh structure, from Alexandria via LeMat-Bulk.

Structure (POSCAR):
```
PrDy2Rh
1.0
3.714 0.000 0.000
1.857 3.217 0.000
1.857 1.072 10.568
Pr Rh Dy
1 1 2
Direct
0.000 0.000 0.000 Pr
0.500 0.500 0.500 Rh
0.113 0.113 0.660 Dy
0.887 0.887 0.340 Dy
```

Summary:
The value obtained for the density of states at the Fermi level is 1.294 states/eV/atom. For the formation energy from the elements, the calculation gives -0.20 eV/atom. The space-group type is R-3m. The final energy comes out at -5.53 eV/atom. The value obtained for the energy above the lowest structure with this stoichiometry is 290 meV per atom.

15.
The following is a PBE calculation of a geometry-optimized PrDy3Rh2 structure, from Alexandria via LeMat-Bulk.

Structure (POSCAR):
```
PrDy3Rh2
1.0
4.275 0.000 0.000
2.138 8.116 0.579
2.138 2.607 9.925
Pr Dy Rh
2 6 4
Direct
0.444 0.401 0.711 Pr
0.556 0.599 0.289 Pr
0.075 0.018 0.832 Dy
0.925 0.982 0.168 Dy
0.713 0.669 0.906 Dy
0.287 0.331 0.094 Dy
0.830 0.812 0.528 Dy
0.170 0.188 0.472 Dy
0.881 0.314 0.923 Rh
0.119 0.686 0.077 Rh
0.638 0.069 0.655 Rh
0.362 0.931 0.345 Rh
```

Summary:
The value obtained for the density of states at the Fermi level is 0.854 states/eV/atom. For the formation energy from the elements, the calculation gives -0.57 eV/atom. The space-group type is C2/m. The final energy comes out at -6.11 eV/atom.

16.
The following is a PBE calculation of a geometry-optimized PrDy2Rh structure, from Alexandria via LeMat-Bulk.

Structure (POSCAR):
```
PrDy2Rh
1.0
-5.139 3.380 1.964
1.425 -1.818 6.857
5.478 7.789 0.927
Pr Dy Rh
4 8 4
Direct
0.637 0.534 0.250 Pr
0.863 0.034 0.250 Pr
0.363 0.466 0.750 Pr
0.137 0.966 0.750 Pr
0.169 0.676 0.065 Dy
0.331 0.176 0.435 Dy
0.831 0.324 0.565 Dy
0.669 0.824 0.935 Dy
0.831 0.324 0.935 Dy
0.669 0.824 0.565 Dy
0.169 0.676 0.435 Dy
0.331 0.176 0.065 Dy
0.075 0.383 0.250 Rh
0.425 0.883 0.250 Rh
0.925 0.617 0.750 Rh
0.575 0.117 0.750 Rh
```

Summary:
The value obtained for the density of states at the Fermi level is 1.142 states/eV/atom. For the formation energy from the elements, the calculation gives -0.49 eV/atom. The space-group type is Pnma. The final energy comes out at -5.82 eV/atom. The value obtained for the energy above the lowest structure with this stoichiometry is 0 meV per atom.

17.
The following is a PBE calculation of a geometry-optimized Pr2DyRh3 structure, from Alexandria via LeMat-Bulk.

Structure (POSCAR):
```
Pr2DyRh3
1.0
-0.552 0.485 4.143
-4.953 -2.903 -0.319
5.662 -3.863 -0.930
Pr Dy Rh
2 1 3
Direct
0.670 0.170 0.340 Pr
0.330 0.830 0.660 Pr
0.000 0.500 0.000 Dy
0.348 0.348 0.697 Rh
0.000 0.000 0.000 Rh
0.652 0.652 0.303 Rh
```

Summary:
The value obtained for the density of states at the Fermi level is 0.174 states/eV/atom. For the formation energy from the elements, the calculation gives -0.52 eV/atom. The space-group type is Immm. The final energy comes out at -6.55 eV/atom.

18.
The following is a PBE calculation of a geometry-optimized PrDy2Rh3 structure, from Alexandria via LeMat-Bulk.

Structure (POSCAR):
```
PrDy2Rh3
1.0
4.907 0.000 0.000
-2.453 4.249 0.000
0.000 0.000 6.040
Pr Dy Rh
1 2 3
Direct
0.000 0.000 0.000 Pr
0.667 0.333 0.337 Dy
0.333 0.667 0.663 Dy
0.000 0.000 0.500 Rh
0.667 0.333 0.821 Rh
0.333 0.667 0.179 Rh
```

Summary:
The value obtained for the density of states at the Fermi level is 0.790 states/eV/atom. For the formation energy from the elements, the calculation gives -0.77 eV/atom. The space-group type is P-3m1. The final energy comes out at -6.77 eV/atom.

19.
The following is a PBE calculation of a geometry-optimized PrDyRh structure, from Alexandria via LeMat-Bulk.

Structure (POSCAR):
```
PrDyRh
1.0
-3.956 -1.811 2.264
-2.715 -3.447 -2.189
0.039 -4.599 1.701
Pr Rh Dy
1 1 1
Direct
0.000 0.000 0.000 Pr
0.250 0.250 0.250 Rh
0.500 0.500 0.500 Dy
```

Summary:
The value obtained for the density of states at the Fermi level is 1.119 states/eV/atom. For the formation energy from the elements, the calculation gives -0.49 eV/atom. The space-group type is F-43m. The final energy comes out at -6.06 eV/atom. The value obtained for the energy above the lowest structure with this stoichiometry is 85 meV per atom.

20.
The following is a PBE calculation of a geometry-optimized PrDy2Rh2 structure, from Alexandria via LeMat-Bulk.

Structure (POSCAR):
```
PrDy2Rh2
1.0
4.077 0.000 -0.625
0.000 4.763 0.000
-0.147 0.000 12.648
Pr Dy Rh
2 4 4
Direct
0.365 0.250 0.729 Pr
0.635 0.750 0.271 Pr
0.053 0.250 0.106 Dy
0.947 0.750 0.894 Dy
0.750 0.250 0.499 Dy
0.250 0.750 0.501 Dy
0.176 0.250 0.352 Rh
0.824 0.750 0.648 Rh
0.471 0.250 0.942 Rh
0.529 0.750 0.058 Rh
```

Summary:
The value obtained for the density of states at the Fermi level is 0.753 states/eV/atom. For the formation energy from the elements, the calculation gives -0.58 eV/atom. The space-group type is Cmcm. The final energy comes out at -6.32 eV/atom. The value obtained for the energy above the lowest structure with this stoichiometry is 0 meV per atom.